No. 1
This record from Alexandria describes crystalline DyZnCd at its relaxed geometry. The functional is PBE.

```
DyZnCd
1.0
4.6931 0.0000 0.0000
2.3465 4.0643 0.0000
2.3465 1.3548 3.8319
Cd Zn Dy
1 1 1
direct
0.5000 0.5000 0.5000 Cd
0.2500 0.2500 0.2500 Zn
0.0000 0.0000 0.0000 Dy
```

Size of the total moment, Bohr magnetons per cell: 0.00
Electronic total energy, eV per atom: -2.44
SG: F-43m (216)
Fermi-level density of states, states/eV/atom: 1.203
ΔE_f, eV/atom: -0.17

No. 2
This record from Alexandria describes crystalline LaPrDy5Th2 at its relaxed geometry. The functional is PBE.

```
LaPrDy5Th2
1.0
-3.5943 0.0105 8.1648
4.0117 -7.7677 1.7760
5.9294 7.6653 -2.2731
Pr Dy Th La
2 10 4 2
direct
0.2500 0.7500 0.5000 Pr
0.7500 0.2500 0.5000 Pr
0.3399 0.8399 0.2696 Dy
0.5703 0.6601 0.7304 Dy
0.8399 0.9297 0.2696 Dy
0.0000 0.0000 0.0000 Dy
0.4297 0.3399 0.2696 Dy
0.9297 0.4297 0.2696 Dy
0.1601 0.0703 0.7304 Dy
0.0703 0.5703 0.7304 Dy
0.6601 0.1601 0.7304 Dy
0.5000 0.5000 0.0000 Dy
0.1190 0.3810 0.0000 Th
0.3810 0.8810 0.0000 Th
0.8810 0.6190 0.0000 Th
0.6190 0.1190 0.0000 Th
0.2500 0.2500 0.5000 La
0.7500 0.7500 0.5000 La
```

Size of the total moment, Bohr magnetons per cell: 0.00
Electronic total energy, eV per atom: -4.98
SG: I4/mcm (140)
Fermi-level density of states, states/eV/atom: 1.395
ΔE_f, eV/atom: 0.31

No. 3
This record from Alexandria describes crystalline Sr2AsIr at its relaxed geometry. The functional is PBE.

```
Sr2AsIr
1.0
-4.1998 3.2943 0.8464
-4.0371 -3.0560 -1.8894
3.6805 -1.4859 3.6679
Sr As Ir
2 1 1
direct
0.5000 0.5000 0.0000 Sr
0.0000 0.0000 0.0000 Sr
0.2500 0.7500 0.5000 As
0.7500 0.2500 0.5000 Ir
```

Size of the total moment, Bohr magnetons per cell: 0.00
Electronic total energy, eV per atom: -4.53
SG: I4/mmm (139)
Fermi-level density of states, states/eV/atom: 0.412
ΔE_f, eV/atom: -0.31

No. 4
This record from Alexandria describes crystalline CoCuSnIr at its relaxed geometry. The functional is PBE.

```
CoCuSnIr
1.0
4.3343 0.0000 0.0000
2.1672 3.7536 0.0000
2.1672 1.2512 3.5389
Sn Cu Ir Co
1 1 1 1
direct
0.2500 0.2500 0.2500 Sn
0.7500 0.7500 0.7500 Cu
0.5000 0.5000 0.5000 Ir
0.0000 0.0000 0.0000 Co
```

Size of the total moment, Bohr magnetons per cell: 0.00
Electronic total energy, eV per atom: -5.99
SG: F-43m (216)
Fermi-level density of states, states/eV/atom: 0.654
ΔE_f, eV/atom: 0.03

No. 5
This record from Alexandria describes crystalline NbSeCl3 at its relaxed geometry. The functional is PBE.

```
NbSeCl3
1.0
5.1346 0.0000 0.0000
0.0000 5.1346 0.0000
0.0000 0.0000 5.1346
Cl Nb Se
3 1 1
direct
0.0000 0.5000 0.0000 Cl
0.5000 0.0000 0.0000 Cl
0.0000 0.0000 0.5000 Cl
0.5000 0.5000 0.5000 Nb
0.0000 0.0000 0.0000 Se
```

Size of the total moment, Bohr magnetons per cell: 3.73
Electronic total energy, eV per atom: -3.11
SG: Pm-3m (221)
Fermi-level density of states, states/eV/atom: 1.771

No. 6
This record from Alexandria describes crystalline V4Ni4Ir at its relaxed geometry. The functional is PBE.

```
V4Ni4Ir
1.0
-4.4687 -0.2522 2.6651
-2.0838 -2.9277 -3.7711
2.7766 -7.1066 3.9830
V Ni Ir
8 8 2
direct
0.7467 0.5000 0.2320 V
0.7533 0.0000 0.2680 V
0.2533 0.5000 0.2320 V
0.0000 0.7533 0.7320 V
0.5000 0.2533 0.7680 V
0.5000 0.7467 0.7680 V
0.0000 0.2467 0.7320 V
0.2467 0.0000 0.2680 V
0.0000 0.2833 0.4406 Ni
0.7833 0.5000 0.9406 Ni
0.0000 0.7167 0.4406 Ni
0.5000 0.7833 0.0594 Ni
0.2167 0.5000 0.9406 Ni
0.2833 0.0000 0.5594 Ni
0.5000 0.2167 0.0594 Ni
0.7167 0.0000 0.5594 Ni
0.0000 0.0000 0.0000 Ir
0.5000 0.5000 0.5000 Ir
```

Size of the total moment, Bohr magnetons per cell: 0.00
Electronic total energy, eV per atom: -7.48
SG: P4_2/nmc (137)
Fermi-level density of states, states/eV/atom: 1.596
ΔE_f, eV/atom: 0.13

No. 7
This record from Alexandria describes crystalline K2Ca2NbO6 at its relaxed geometry. The functional is PBE.

```
K2Ca2NbO6
1.0
-0.6598 5.3511 -2.2482
-1.1638 -4.6454 -3.3451
-5.3347 -0.1550 3.8637
Ca O K Nb
2 6 2 1
direct
0.6619 0.3381 0.5000 Ca
0.3381 0.6619 0.5000 Ca
0.0530 0.3512 0.6763 O
0.9470 0.6488 0.3237 O
0.7738 0.7738 0.6768 O
0.3512 0.0530 0.6763 O
0.6488 0.9470 0.3237 O
0.2262 0.2262 0.3232 O
0.8313 0.1687 0.0000 K
0.1687 0.8313 0.0000 K
0.0000 0.0000 0.5000 Nb
```

Size of the total moment, Bohr magnetons per cell: 1.11
Electronic total energy, eV per atom: -6.51
SG: C2/m (12)
Fermi-level density of states, states/eV/atom: 0.832

No. 8
This record from Alexandria describes crystalline Sc2TiRu3 at its relaxed geometry. The functional is PBE.

```
Sc2TiRu3
1.0
3.1557 0.0000 0.0000
0.0000 3.1557 0.0000
0.0000 0.0000 9.5623
Ru Sc Ti
3 2 1
direct
0.0000 0.0000 0.0000 Ru
0.0000 0.0000 0.3455 Ru
0.0000 0.0000 0.6545 Ru
0.5000 0.5000 0.1679 Sc
0.5000 0.5000 0.8321 Sc
0.5000 0.5000 0.5000 Ti
```

Size of the total moment, Bohr magnetons per cell: 0.00
Electronic total energy, eV per atom: -8.69
SG: P4/mmm (123)
Fermi-level density of states, states/eV/atom: 0.982
ΔE_f, eV/atom: -0.62

No. 9
This record from Alexandria describes crystalline PmNdEuPb at its relaxed geometry. The functional is PBE.

```
PmNdEuPb
1.0
-5.4421 0.0969 -1.5018
-2.9299 -4.8168 -0.3079
-4.0035 -1.1184 3.8212
Pm Pb Eu Nd
1 1 1 1
direct
0.0000 0.0000 0.0000 Pm
0.2500 0.2500 0.2500 Pb
0.7500 0.7500 0.7500 Eu
0.5000 0.5000 0.5000 Nd
```

Size of the total moment, Bohr magnetons per cell: 8.06
Electronic total energy, eV per atom: -6.05
SG: F-43m (216)
Fermi-level density of states, states/eV/atom: 1.599
ΔE_f, eV/atom: -0.18

No. 10
This record from Alexandria describes crystalline RbRh2Au at its relaxed geometry. The functional is PBE.

```
RbRh2Au
1.0
-1.0751 1.8446 -4.1872
-2.6167 -3.7763 -0.9918
-9.5202 3.3366 1.2764
Rb Au Rh
2 2 4
direct
0.5000 0.5000 0.0000 Rb
0.2500 0.7500 0.5000 Rb
0.0000 0.0000 0.0000 Au
0.7500 0.2500 0.5000 Au
0.7989 0.1250 0.2500 Rh
0.9511 0.6250 0.2500 Rh
0.8750 0.0489 0.7500 Rh
0.3750 0.2011 0.7500 Rh
```

Size of the total moment, Bohr magnetons per cell: 2.03
Electronic total energy, eV per atom: -4.07
SG: I-42d (122)
Fermi-level density of states, states/eV/atom: 1.041
ΔE_f, eV/atom: 0.67
Energy above the lowest structure with this stoichiometry, eV per formula unit: 0.00

No. 11
This record from Alexandria describes crystalline Nd8BiPb2 at its relaxed geometry. The functional is PBE.

```
Nd8BiPb2
1.0
5.1206 0.0000 0.0000
0.0000 7.3923 0.5831
-2.5603 -2.3519 9.7768
Nd Bi Pb
8 1 2
direct
0.3384 0.9749 0.6769 Nd
0.6616 0.0251 0.3231 Nd
0.2128 0.3512 0.4256 Nd
0.7872 0.6488 0.5744 Nd
0.4053 0.5120 0.8105 Nd
0.9811 0.2472 0.9622 Nd
0.0189 0.7528 0.0378 Nd
0.5947 0.4880 0.1895 Nd
0.5000 0.0000 0.0000 Bi
0.8182 0.2260 0.6363 Pb
0.1818 0.7740 0.3637 Pb
```

Size of the total moment, Bohr magnetons per cell: 0.00
Electronic total energy, eV per atom: -4.81
SG: C2/m (12)
Fermi-level density of states, states/eV/atom: 1.181
ΔE_f, eV/atom: -0.32